[1]
A relaxed La8Ga3CuI4 crystal. Source: Alexandria via LeMat-Bulk, functional GGA-PBE.

Structure (CIF):
```
data_La8Ga3CuI4
_chemical_formula_sum 'La24 Ga9 Cu3 I12'
_cell_length_a 8.9581
_cell_length_b 8.9581
_cell_length_c 22.9342
_cell_angle_alpha 90.00
_cell_angle_beta 90.00
_cell_angle_gamma 120.00
_space_group_name_H-M_alt 'R -3 m'
_space_group_IT_number 166
_space_group_name_Hall '-R 3 2"'
loop_
_atom_site_label
_atom_site_fract_x
_atom_site_fract_y
_atom_site_fract_z
_atom_site_occupancy
La1 0.0000 0.0000 0.2390 1
La2 0.0003 0.5001 0.2378 1
Ga1 0.0000 0.5000 0.5000 1
Cu1 0.0000 0.0000 0.5000 1
I1 0.0000 0.0000 0.0000 1
I2 0.0000 0.5000 0.0000 1
```

## Properties
Formation energy (no corrections) = -748.1 meV per atom
Calculated density = 5.9 Mg/m³
V = 1594 Å³ per cell

---

[2]
A relaxed Mg2GaCuI crystal. Source: Alexandria via LeMat-Bulk, functional GGA-PBE.

Structure (CIF):
```
data_Mg2GaCuI
_chemical_formula_sum 'Mg2 Ga1 Cu1 I1'
_cell_length_a 5.069
_cell_length_b 5.069
_cell_length_c 5.953
_cell_angle_alpha 90.00
_cell_angle_beta 90.00
_cell_angle_gamma 90.00
_space_group_name_H-M_alt 'P 4/m m m'
_space_group_IT_number 123
_space_group_name_Hall '-P 4 2'
loop_
_atom_site_label
_atom_site_fract_x
_atom_site_fract_y
_atom_site_fract_z
_atom_site_occupancy
Mg1 0.000 0.500 0.000 1
Ga1 0.000 0.000 0.000 1
Cu1 0.500 0.500 0.500 1
I1 0.000 0.000 0.500 1
```

## Properties
Formation energy (no corrections) = 485.1 meV per atom
Calculated density = 3.4 Mg/m³
V = 153 Å³ per cell

---

[3]
A relaxed GaCuMoI2 crystal. Source: Alexandria via LeMat-Bulk, functional GGA-PBE.

Structure (CIF):
```
data_GaCuMoI2
_chemical_formula_sum 'Ga1 Cu1 Mo1 I2'
_cell_length_a 5.553
_cell_length_b 5.553
_cell_length_c 4.936
_cell_angle_alpha 90.00
_cell_angle_beta 90.00
_cell_angle_gamma 90.00
_space_group_name_H-M_alt 'P 4/m m m'
_space_group_IT_number 123
_space_group_name_Hall '-P 4 2'
loop_
_atom_site_label
_atom_site_fract_x
_atom_site_fract_y
_atom_site_fract_z
_atom_site_occupancy
Ga1 0.000 0.000 0.000 1
Cu1 0.500 0.500 0.000 1
Mo1 0.500 0.500 0.500 1
I1 0.000 0.500 0.500 1
```

## Properties
Formation energy (no corrections) = 673.8 meV per atom
Calculated density = 5.3 Mg/m³
V = 152 Å³ per cell

---

[4]
A relaxed GaCuIN2 crystal. Source: Alexandria via LeMat-Bulk, functional GGA-PBE.

Structure (CIF):
```
data_GaCuIN2
_chemical_formula_sum 'Ga1 Cu1 I1 N2'
_cell_length_a 4.068
_cell_length_b 4.068
_cell_length_c 6.158
_cell_angle_alpha 90.00
_cell_angle_beta 90.00
_cell_angle_gamma 90.00
_space_group_name_H-M_alt 'P 4/m m m'
_space_group_IT_number 123
_space_group_name_Hall '-P 4 2'
loop_
_atom_site_label
_atom_site_fract_x
_atom_site_fract_y
_atom_site_fract_z
_atom_site_occupancy
Ga1 0.000 0.000 0.000 1
Cu1 0.500 0.500 0.500 1
I1 0.500 0.500 0.000 1
N1 0.000 0.500 0.500 1
```

## Properties
Formation energy (no corrections) = 1463.3 meV per atom
Calculated density = 4.7 Mg/m³
V = 102 Å³ per cell
Distance to the lowest polymorph of the same formula = 111.4 kJ/mol of formula units

---

no.,final energy (eV/atom)
1,-4.423
2,-1.887
3,-3.537
4,-3.601